## Ba6MgAl2 (PBE-GGA)

Data for Ba6MgAl2 after structural relaxation.

V in A^3/atom: 46.296
Energy of formation in eV per atom: -0.04
Total energy in eV/f.u.: -20.93
Magnetization in μB/f.u.: 0.62

The structure in CIF format:
```
data_Ba6MgAl2
_space_group_name_H-M_alt 'I m m m'
_space_group_IT_number 71
_space_group_name_Hall '-I 2 2'
_cell_length_a 11.257
_cell_length_b 11.883
_cell_length_c 12.459
_cell_angle_alpha 90.00
_cell_angle_beta 90.00
_cell_angle_gamma 90.00
loop_
_atom_site_label
_atom_site_type_symbol
_atom_site_fract_x
_atom_site_fract_y
_atom_site_fract_z
_atom_site_occupancy
Ba1 Ba 0.000 0.209 0.181 1
Ba2 Ba 0.184 0.228 0.500 1
Ba3 Ba 0.218 0.500 0.261 1
Mg1 Mg 0.000 0.500 0.000 1
Mg2 Mg 0.000 0.500 0.500 1
Al1 Al 0.000 0.000 0.394 1
Al2 Al 0.119 0.000 0.000 1
```

---

## Ba3Mg2Al4 (PBE-GGA)

Data for Ba3Mg2Al4 after structural relaxation.

V in A^3/atom: 32.137
Energy of formation in eV per atom: -0.09
Total energy in eV/f.u.: -24.77
Magnetization in μB/f.u.: 0.00

The structure in CIF format:
```
data_Ba3Mg2Al4
_space_group_name_H-M_alt 'C 1 2/m 1'
_space_group_IT_number 12
_space_group_name_Hall '-C 2y'
_cell_length_a 12.238
_cell_length_b 4.971
_cell_length_c 9.797
_cell_angle_alpha 90.00
_cell_angle_beta 103.91
_cell_angle_gamma 90.00
loop_
_atom_site_label
_atom_site_type_symbol
_atom_site_fract_x
_atom_site_fract_y
_atom_site_fract_z
_atom_site_occupancy
Ba1 Ba 0.000 0.000 0.000 1
Ba2 Ba 0.133 0.500 0.695 1
Mg1 Mg 0.176 0.500 0.345 1
Al1 Al 0.086 0.000 0.432 1
Al2 Al 0.230 0.500 0.062 1
```

---

## BaMg6Al2 (PBE-GGA)

Data for BaMg6Al2 after structural relaxation.

V in A^3/atom: 25.425
Energy of formation in eV per atom: -0.07
Total energy in eV/f.u.: -19.65
Magnetization in μB/f.u.: 0.00

The structure in CIF format:
```
data_BaMg6Al2
_space_group_name_H-M_alt 'P 4/m m m'
_space_group_IT_number 123
_space_group_name_Hall '-P 4 2'
_cell_length_a 4.779
_cell_length_b 4.779
_cell_length_c 10.020
_cell_angle_alpha 90.00
_cell_angle_beta 90.00
_cell_angle_gamma 90.00
loop_
_atom_site_label
_atom_site_type_symbol
_atom_site_fract_x
_atom_site_fract_y
_atom_site_fract_z
_atom_site_occupancy
Ba1 Ba 0.000 0.000 0.000 1
Mg1 Mg 0.000 0.000 0.500 1
Mg2 Mg 0.000 0.500 0.293 1
Mg3 Mg 0.500 0.500 0.500 1
Al1 Al 0.500 0.500 0.134 1
```

---

## BaMg3Al2 (PBE-GGA)

Data for BaMg3Al2 after structural relaxation.

V in A^3/atom: 27.185
Energy of formation in eV per atom: -0.11
Total energy in eV/f.u.: -14.84
Magnetization in μB/f.u.: 0.00

The structure in CIF format:
```
data_BaMg3Al2
_space_group_name_H-M_alt 'C 1 2/m 1'
_space_group_IT_number 12
_space_group_name_Hall '-C 2y'
_cell_length_a 17.303
_cell_length_b 4.703
_cell_length_c 8.802
_cell_angle_alpha 90.00
_cell_angle_beta 114.37
_cell_angle_gamma 90.00
loop_
_atom_site_label
_atom_site_type_symbol
_atom_site_fract_x
_atom_site_fract_y
_atom_site_fract_z
_atom_site_occupancy
Ba1 Ba 0.153 0.000 0.075 1
Mg1 Mg 0.036 0.000 0.360 1
Mg2 Mg 0.093 0.500 0.681 1
Mg3 Mg 0.181 0.500 0.446 1
Al1 Al 0.020 0.500 0.159 1
Al2 Al 0.185 0.000 0.675 1
```

---

## Ba2MgAl7 (PBE-GGA)

Data for Ba2MgAl7 after structural relaxation.

V in A^3/atom: 24.469
Energy of formation in eV per atom: -0.22
Total energy in eV/f.u.: -33.84
Magnetization in μB/f.u.: 0.00

The structure in CIF format:
```
data_Ba2MgAl7
_space_group_name_H-M_alt 'P -4 m 2'
_space_group_IT_number 115
_space_group_name_Hall 'P -4 -2'
_cell_length_a 4.607
_cell_length_b 4.607
_cell_length_c 11.526
_cell_angle_alpha 90.00
_cell_angle_beta 90.00
_cell_angle_gamma 90.00
loop_
_atom_site_label
_atom_site_type_symbol
_atom_site_fract_x
_atom_site_fract_y
_atom_site_fract_z
_atom_site_occupancy
Ba1 Ba 0.000 0.500 0.244 1
Mg1 Mg 0.000 0.000 0.500 1
Al1 Al 0.000 0.000 0.000 1
Al2 Al 0.000 0.500 0.637 1
Al3 Al 0.000 0.500 0.871 1
Al4 Al 0.500 0.500 0.000 1
Al5 Al 0.500 0.500 0.500 1
```

---

## Ba3Mg4Al4 (PBE-GGA)

Data for Ba3Mg4Al4 after structural relaxation.

V in A^3/atom: 29.931
Energy of formation in eV per atom: -0.05
Total energy in eV/f.u.: -27.68
Magnetization in μB/f.u.: 0.00

The structure in CIF format:
```
data_Ba3Mg4Al4
_space_group_name_H-M_alt 'I m m m'
_space_group_IT_number 71
_space_group_name_Hall '-I 2 2'
_cell_length_a 5.204
_cell_length_b 7.501
_cell_length_c 16.870
_cell_angle_alpha 90.00
_cell_angle_beta 90.00
_cell_angle_gamma 90.00
loop_
_atom_site_label
_atom_site_type_symbol
_atom_site_fract_x
_atom_site_fract_y
_atom_site_fract_z
_atom_site_occupancy
Ba1 Ba 0.000 0.000 0.000 1
Ba2 Ba 0.000 0.500 0.143 1
Mg1 Mg 0.000 0.000 0.219 1
Mg2 Mg 0.000 0.194 0.500 1
Al1 Al 0.000 0.323 0.338 1
```

---

## BaMgAl3 (PBE-GGA)

Data for BaMgAl3 after structural relaxation.

V in A^3/atom: 29.160
Energy of formation in eV per atom: 0.35
Total energy in eV/f.u.: -13.01
Magnetization in μB/f.u.: 0.00

The structure in CIF format:
```
data_BaMgAl3
_space_group_name_H-M_alt 'P m -3 m'
_space_group_IT_number 221
_space_group_name_Hall '-P 4 2 3'
_cell_length_a 5.263
_cell_length_b 5.263
_cell_length_c 5.263
_cell_angle_alpha 90.00
_cell_angle_beta 90.00
_cell_angle_gamma 90.00
loop_
_atom_site_label
_atom_site_type_symbol
_atom_site_fract_x
_atom_site_fract_y
_atom_site_fract_z
_atom_site_occupancy
Ba1 Ba 0.000 0.000 0.000 1
Mg1 Mg 0.500 0.500 0.500 1
Al1 Al 0.000 0.500 0.500 1
```

---

## BaMgAl (PBE-GGA)

Data for BaMgAl after structural relaxation.

V in A^3/atom: 33.008
Energy of formation in eV per atom: -0.07
Total energy in eV/f.u.: -7.46
Magnetization in μB/f.u.: 0.00

The structure in CIF format:
```
data_BaMgAl
_space_group_name_H-M_alt 'I m m m'
_space_group_IT_number 71
_space_group_name_Hall '-I 2 2'
_cell_length_a 5.163
_cell_length_b 8.656
_cell_length_c 8.864
_cell_angle_alpha 90.00
_cell_angle_beta 90.00
_cell_angle_gamma 90.00
loop_
_atom_site_label
_atom_site_type_symbol
_atom_site_fract_x
_atom_site_fract_y
_atom_site_fract_z
_atom_site_occupancy
Ba1 Ba 0.000 0.239 0.000 1
Mg1 Mg 0.000 0.500 0.319 1
Al1 Al 0.000 0.000 0.351 1
```

---

## Ba4MgAl (PBE-GGA)

Data for Ba4MgAl after structural relaxation.

V in A^3/atom: 46.169
Energy of formation in eV per atom: 0.50
Total energy in eV/f.u.: -10.04
Magnetization in μB/f.u.: 0.00

The structure in CIF format:
```
data_Ba4MgAl
_space_group_name_H-M_alt 'F -4 3 m'
_space_group_IT_number 216
_space_group_name_Hall 'F -4 2 3'
_cell_length_a 10.348
_cell_length_b 10.348
_cell_length_c 10.348
_cell_angle_alpha 90.00
_cell_angle_beta 90.00
_cell_angle_gamma 90.00
loop_
_atom_site_label
_atom_site_type_symbol
_atom_site_fract_x
_atom_site_fract_y
_atom_site_fract_z
_atom_site_occupancy
Ba1 Ba 0.124 0.124 0.376 1
Mg1 Mg 0.000 0.000 0.000 1
Al1 Al 0.250 0.250 0.750 1
```

---

## BaMg9Al3 (PBE-GGA)

Data for BaMg9Al3 after structural relaxation.

V in A^3/atom: 23.391
Energy of formation in eV per atom: -0.08
Total energy in eV/f.u.: -28.49
Magnetization in μB/f.u.: 0.00

The structure in CIF format:
```
data_BaMg9Al3
_space_group_name_H-M_alt 'C 1 2/m 1'
_space_group_IT_number 12
_space_group_name_Hall '-C 2y'
_cell_length_a 5.797
_cell_length_b 14.526
_cell_length_c 7.753
_cell_angle_alpha 90.00
_cell_angle_beta 111.30
_cell_angle_gamma 90.00
loop_
_atom_site_label
_atom_site_type_symbol
_atom_site_fract_x
_atom_site_fract_y
_atom_site_fract_z
_atom_site_occupancy
Ba1 Ba 0.000 0.000 0.000 1
Mg1 Mg 0.000 0.000 0.500 1
Mg2 Mg 0.104 0.388 0.219 1
Mg3 Mg 0.174 0.179 0.351 1
Al1 Al 0.000 0.500 0.500 1
Al2 Al 0.250 0.250 0.000 1
```

---

## Ba3Mg3Al8 (PBE-GGA)

Data for Ba3Mg3Al8 after structural relaxation.

V in A^3/atom: 25.501
Energy of formation in eV per atom: -0.17
Total energy in eV/f.u.: -42.85
Magnetization in μB/f.u.: 0.00

The structure in CIF format:
```
data_Ba3Mg3Al8
_space_group_name_H-M_alt 'I m m m'
_space_group_IT_number 71
_space_group_name_Hall '-I 2 2'
_cell_length_a 4.731
_cell_length_b 10.454
_cell_length_c 14.438
_cell_angle_alpha 90.00
_cell_angle_beta 90.00
_cell_angle_gamma 90.00
loop_
_atom_site_label
_atom_site_type_symbol
_atom_site_fract_x
_atom_site_fract_y
_atom_site_fract_z
_atom_site_occupancy
Ba1 Ba 0.000 0.000 0.000 1
Ba2 Ba 0.000 0.000 0.304 1
Mg1 Mg 0.000 0.206 0.500 1
Mg2 Mg 0.000 0.500 0.000 1
Al1 Al 0.000 0.269 0.153 1
Al2 Al 0.000 0.366 0.335 1
```

---

## Ba2Mg12Al5 (PBE-GGA)

Data for Ba2Mg12Al5 after structural relaxation.

V in A^3/atom: 24.253
Energy of formation in eV per atom: -0.07
Total energy in eV/f.u.: -43.11
Magnetization in μB/f.u.: 0.00

The structure in CIF format:
```
data_Ba2Mg12Al5
_space_group_name_H-M_alt 'R -3 m'
_space_group_IT_number 166
_space_group_name_Hall '-R 3 2"'
_cell_length_a 10.3071
_cell_length_b 10.3071
_cell_length_c 15.0260
_cell_angle_alpha 90.00
_cell_angle_beta 90.00
_cell_angle_gamma 120.00
loop_
_atom_site_label
_atom_site_type_symbol
_atom_site_fract_x
_atom_site_fract_y
_atom_site_fract_z
_atom_site_occupancy
Ba1 Ba 0.0000 0.0000 0.1747 1
Mg1 Mg 0.0000 0.2905 0.5000 1
Mg2 Mg 0.0069 0.5035 0.3450 1
Al1 Al 0.0000 0.0000 0.4089 1
Al2 Al 0.0000 0.5000 0.0000 1
```